(1)
A plane-wave DFT calculation with PBE was carried out for CrBiSN2 after structural relaxation.

abc: 3.867 3.867 4.823
angles: 90.00 90.00 90.00
Positions (direct):
Cr 0.000 0.000 0.000
Bi 0.500 0.500 0.500
S 0.000 0.000 0.500
N 0.000 0.500 0.000
N 0.500 0.000 0.000

Output
electronic total energy = -6.40 eV per atom
raw formation energy = 453 meV/atom
symmetry = P4/mmm, No. 123
size of the total moment = 0.25 μB/atom

(2)
A plane-wave DFT calculation with PBE was carried out for SrRe3Ru after structural relaxation.

abc: 4.652 4.652 4.652
angles: 90.00 90.00 90.00
Positions (direct):
Sr 0.000 0.000 0.000
Re 0.000 0.000 0.500
Re 0.000 0.500 0.000
Re 0.500 0.000 0.000
Ru 0.500 0.500 0.500

Output
electronic total energy = -5.72 eV per atom
symmetry = Pm-3m, No. 221
size of the total moment = 0.00 μB/atom
energy relative to the elements = 3.9381 eV per atom

Number 1: calculated volume 14.4 Å³ per atom. Number 2: calculated volume 20.1 Å³ per atom.